Record 1
Below is a relaxed SiTcRh2 crystal, with properties calculated at the PBE level.

Its magnetic moment is 0.000 μB per cell. The value obtained for the formation energy without anion corrections is -126 kJ/mol of formula units. The value obtained for the density is 9.929 g/cm3. The calculated volume is 55.51 Å³/f.u.

a b c (Å): 4.4785 2.8276 4.5009
angles (deg): 90.00 103.12 90.00
Last column: nearest neighbours and their distance in Å.
Element x y z (fractional)
Rh  0.1147  0.5000  0.6400  1 Si 2.34
Rh  0.2254  0.0000  0.1637  2 Si 2.45, 4 Rh 2.70-2.71
Si  0.6817  0.5000  0.2347  3 Rh 2.34-2.45, 2 Tc 2.53
Tc  0.6396  0.0000  0.7606  4 Si 2.53-2.80, 5 Rh 2.69-2.83, 2 Tc 2.83

Record 2
Below is a relaxed Si2Tc2Rh crystal, with properties calculated at the PBE level.

Its magnetic moment is 0.187 μB per cell. The value obtained for the formation energy without anion corrections is 63 kJ/mol of formula units. The value obtained for the density is 7.685 g/cm3. The calculated volume is 76.72 Å³/f.u. For the polymorph energy (0 for the lowest one), the calculation gives 440 meV/atom.

a b c (Å): 3.8375 3.8375 5.8741
angles (deg): 70.94 70.94 90.00
Last column: nearest neighbours and their distance in Å.
Element x y z (fractional)
Tc  0.7500  0.2500  0.5000  4 Si 2.43, 4 Tc 2.71
Tc  0.2500  0.7500  0.5000  4 Si 2.43, 4 Tc 2.71
Si  0.3930  0.3930  0.2140  1 Si 2.23, 4 Tc 2.43
Si  0.6070  0.6070  0.7860  1 Si 2.23, 4 Tc 2.43
Rh  0.0000  0.0000  0.0000  8 Si 2.93, 8 Tc 3.24

Record 3
Below is a relaxed SiTcRh2 crystal, with properties calculated at the PBE level.

Its magnetic moment is 0.000 μB per cell. The value obtained for the formation energy without anion corrections is -106 kJ/mol of formula units. The value obtained for the density is 9.990 g/cm3. The calculated volume is 55.17 Å³/f.u.

a b c (Å): 2.7598 3.7766 5.2928
angles (deg): 90.00 90.00 90.00
Last column: nearest neighbours and their distance in Å.
Element x y z (fractional)
Si  0.5000  0.5000  0.2500  2 Tc 2.65, 8 Rh 2.68, 2 Si 2.76
Tc  0.5000  0.5000  0.7500  2 Si 2.65, 8 Rh 2.69, 2 Tc 2.76
Rh  0.0000  0.0000  0.0027  4 Rh 2.62-2.76, 4 Si 2.68, 4 Tc 2.69
Rh  0.0000  0.0000  0.4973  4 Rh 2.62-2.76, 4 Si 2.68, 4 Tc 2.69

Record 4
Below is a relaxed Si2TcRh crystal, with properties calculated at the PBE level.

Its magnetic moment is 0.000 μB per cell. The value obtained for the formation energy without anion corrections is -194 kJ/mol of formula units. The value obtained for the density is 7.809 g/cm3. The calculated volume is 54.67 Å³/f.u.

a b c (Å): 3.1823 3.1823 5.3981
angles (deg): 90.00 90.00 90.00
Last column: nearest neighbours and their distance in Å.
Element x y z (fractional)
Si  0.0000  0.0000  0.9886  1 Tc 2.46, 4 Rh 2.46, 4 Si 2.70
Si  0.5000  0.5000  0.2638  4 Tc 2.45, 1 Rh 2.49, 4 Si 2.70
Tc  0.0000  0.0000  0.4451  5 Si 2.45-2.46
Rh  0.5000  0.5000  0.8025  5 Si 2.46-2.49

Record 5
Below is a relaxed SiTc2Rh crystal, with properties calculated at the PBE level.

Its magnetic moment is 0.000 μB per cell. The value obtained for the formation energy without anion corrections is -110 kJ/mol of formula units. The value obtained for the density is 9.718 g/cm3. The calculated volume is 55.88 Å³/f.u.

a b c (Å): 3.9959 2.7756 5.2251
angles (deg): 74.62 90.00 90.00
Last column: nearest neighbours and their distance in Å.
Element x y z (fractional)
Rh  0.0000  0.6844  0.5082  2 Si 2.37, 1 Tc 2.63
Si  0.5000  0.5558  0.7596  2 Rh 2.37, 1 Tc 2.45
Tc  0.0000  0.9447  0.9855  3 Rh 2.63-2.78, 4 Si 2.68-2.69, 6 Tc 2.76-2.78
Tc  0.5000  0.3150  0.2467  1 Si 2.45

Record 6
Below is a relaxed SiTcRh2 crystal, with properties calculated at the PBE level.

Its magnetic moment is 0.000 μB per cell. The value obtained for the formation energy without anion corrections is -108 kJ/mol of formula units. The value obtained for the density is 9.681 g/cm3. The calculated volume is 56.93 Å³/f.u.

a b c (Å): 4.8868 2.7519 8.4765
angles (deg): 90.00 92.83 90.00
Last column: nearest neighbours and their distance in Å.
Element x y z (fractional)
Rh  0.0001  0.0000  0.8233  3 Si 2.47-2.55, 2 Tc 2.74, 3 Rh 2.75-2.76
Rh  0.3181  0.0000  0.1013  2 Si 2.44-2.45, 3 Tc 2.49-2.61
Rh  0.0001  0.5000  0.3233  3 Si 2.47-2.55, 2 Tc 2.74, 3 Rh 2.75-2.76
Rh  0.3181  0.5000  0.6013  2 Si 2.44-2.45, 3 Tc 2.49-2.61
Si  0.8163  0.0000  0.0999  5 Rh 2.44-2.55, 2 Tc 2.70
Si  0.8163  0.5000  0.5999  5 Rh 2.44-2.55, 2 Tc 2.70
Tc  0.5269  0.5000  0.8749  5 Rh 2.49-2.74, 3 Si 2.70-2.79, 2 Tc 2.75
Tc  0.5269  0.0000  0.3749  5 Rh 2.49-2.74, 3 Si 2.70-2.79, 2 Tc 2.75

Record 7
Below is a relaxed Si2TcRh crystal, with properties calculated at the PBE level.

Its magnetic moment is 0.000 μB per cell. The value obtained for the formation energy without anion corrections is -148 kJ/mol of formula units. The value obtained for the density is 7.627 g/cm3. The calculated volume is 55.97 Å³/f.u.

a b c (Å): 3.7068 2.8633 5.2735
angles (deg): 89.99 90.00 90.00
Last column: nearest neighbours and their distance in Å.
Element x y z (fractional)
Rh  0.5000  0.7500  0.7500  4 Si 2.35
Tc  0.5000  0.2500  0.2500  8 Si 2.63, 2 Tc 2.86
Si  0.0000  0.7505  0.0230  2 Rh 2.35, 1 Si 2.39
Si  0.0000  0.7495  0.4770  2 Rh 2.35, 1 Si 2.39

Record 8
Below is a relaxed SiTcRh2 crystal, with properties calculated at the PBE level.

Its magnetic moment is 0.775 μB per cell. The value obtained for the formation energy without anion corrections is -39 kJ/mol of formula units. The value obtained for the density is 9.773 g/cm3. The calculated volume is 56.39 Å³/f.u.

a b c (Å): 4.5441 4.5441 2.7309
angles (deg): 90.00 90.00 90.00
Last column: nearest neighbours and their distance in Å.
Element x y z (fractional)
Si  0.5000  0.0000  0.5000  8 Rh 2.65, 2 Si 2.73
Rh  0.0000  0.0000  0.0000  4 Tc 2.65, 4 Si 2.65, 2 Rh 2.73
Rh  0.5000  0.5000  0.0000  4 Tc 2.65, 4 Si 2.65, 2 Rh 2.73
Tc  0.0000  0.5000  0.5000  8 Rh 2.65, 2 Tc 2.73

Record 9
Below is a relaxed SiTc2Rh crystal, with properties calculated at the PBE level.

Its magnetic moment is 0.000 μB per cell. The value obtained for the formation energy without anion corrections is -69 kJ/mol of formula units. The value obtained for the density is 9.767 g/cm3. The calculated volume is 55.59 Å³/f.u.

a b c (Å): 4.7659 4.7659 4.7659
angles (deg): 133.72 133.72 67.53
Last column: nearest neighbours and their distance in Å.
Element x y z (fractional)
Si  0.7500  0.2500  0.5000  4 Rh 2.65, 8 Tc 2.73
Tc  0.0000  0.0000  0.0000  4 Tc 2.65, 4 Rh 2.73, 4 Si 2.73
Tc  0.5000  0.5000  0.0000  4 Tc 2.65, 4 Si 2.73, 4 Rh 2.73
Rh  0.2500  0.7500  0.5000  4 Si 2.65, 8 Tc 2.73

Record 10
Below is a relaxed SiTcRh2 crystal, with properties calculated at the PBE level.

Its magnetic moment is 0.000 μB per cell. The value obtained for the formation energy without anion corrections is -137 kJ/mol of formula units. The value obtained for the density is 9.853 g/cm3. The calculated volume is 55.93 Å³/f.u.

a b c (Å): 3.8021 2.7884 5.4564
angles (deg): 75.22 90.00 90.00
Last column: nearest neighbours and their distance in Å.
Element x y z (fractional)
Si  0.0000  0.7130  0.4511  5 Rh 2.45-2.49, 2 Tc 2.52
Tc  0.5000  0.5557  0.7634  2 Si 2.52, 5 Rh 2.63-2.82, 2 Tc 2.79
Rh  0.0000  0.9435  0.9861  1 Si 2.45, 4 Tc 2.63-2.64
Rh  0.5000  0.2878  0.2994  4 Si 2.49

Record 11
Below is a relaxed SiTc2Rh crystal, with properties calculated at the PBE level.

Its magnetic moment is 0.000 μB per cell. The value obtained for the formation energy without anion corrections is 369 kJ/mol of formula units. The value obtained for the density is 6.667 g/cm3. The calculated volume is 81.45 Å³/f.u.

a b c (Å): 5.6400 5.6400 6.4906
angles (deg): 64.25 64.25 90.00
Last column: nearest neighbours and their distance in Å.
Element x y z (fractional)
Tc  0.6216  0.1250  0.2500  2 Si 2.36, 2 Rh 2.38
Tc  0.8750  0.8716  0.7500  2 Si 2.36, 2 Rh 2.38
Tc  0.3750  0.3784  0.7500  2 Si 2.36, 2 Rh 2.38
Tc  0.1284  0.6250  0.2500  2 Si 2.36, 2 Rh 2.38
Si  0.5000  0.5000  0.0000  4 Tc 2.36
Si  0.2500  0.7500  0.5000  4 Tc 2.36
Rh  0.0000  0.0000  0.0000  4 Tc 2.38
Rh  0.7500  0.2500  0.5000  4 Tc 2.38

Record 12
Below is a relaxed SiTcRh2 crystal, with properties calculated at the PBE level.

Its magnetic moment is 0.000 μB per cell. The value obtained for the formation energy without anion corrections is -135 kJ/mol of formula units. The value obtained for the density is 10.036 g/cm3. The calculated volume is 54.91 Å³/f.u.

a b c (Å): 4.9201 4.9201 4.1951
angles (deg): 64.79 64.79 37.25
Last column: nearest neighbours and their distance in Å.
Element x y z (fractional)
Rh  0.0262  0.0262  0.9740  2 Si 2.44, 4 Rh 2.66
Rh  0.4738  0.4738  0.5260  2 Si 2.44, 4 Rh 2.66
Si  0.7500  0.7500  0.7500  4 Rh 2.44, 4 Tc 2.62
Tc  0.2500  0.2500  0.2500  4 Si 2.62, 8 Rh 2.79-2.81

Which of these has the highest formation energy without anion corrections? number 11

Repeat the fourth record exactly.
Below is a relaxed Si2TcRh crystal, with properties calculated at the PBE level.

Its magnetic moment is 0.000 μB per cell. The value obtained for the formation energy without anion corrections is -194 kJ/mol of formula units. The value obtained for the density is 7.809 g/cm3. The calculated volume is 54.67 Å³/f.u.

a b c (Å): 3.1823 3.1823 5.3981
angles (deg): 90.00 90.00 90.00
Last column: nearest neighbours and their distance in Å.
Element x y z (fractional)
Si  0.0000  0.0000  0.9886  1 Tc 2.46, 4 Rh 2.46, 4 Si 2.70
Si  0.5000  0.5000  0.2638  4 Tc 2.45, 1 Rh 2.49, 4 Si 2.70
Tc  0.0000  0.0000  0.4451  5 Si 2.45-2.46
Rh  0.5000  0.5000  0.8025  5 Si 2.46-2.49

What did the twelfth record say?
Below is a relaxed SiTcRh2 crystal, with properties calculated at the PBE level.

Its magnetic moment is 0.000 μB per cell. The value obtained for the formation energy without anion corrections is -135 kJ/mol of formula units. The value obtained for the density is 10.036 g/cm3. The calculated volume is 54.91 Å³/f.u.

a b c (Å): 4.9201 4.9201 4.1951
angles (deg): 64.79 64.79 37.25
Last column: nearest neighbours and their distance in Å.
Element x y z (fractional)
Rh  0.0262  0.0262  0.9740  2 Si 2.44, 4 Rh 2.66
Rh  0.4738  0.4738  0.5260  2 Si 2.44, 4 Rh 2.66
Si  0.7500  0.7500  0.7500  4 Rh 2.44, 4 Tc 2.62
Tc  0.2500  0.2500  0.2500  4 Si 2.62, 8 Rh 2.79-2.81